Computed, not measured: a relaxed RbPO2F crystal at the PBE level of DFT.

**SG**: No. 123

Lattice parameters (Å, degrees): 4.359 4.359 4.790 90.00 90.00 90.00
Fractional coordinates of all 5 atoms:
Rb1 0.000 0.000 0.000
P1 0.500 0.500 0.500
O1 0.000 0.500 0.000
O2 0.500 0.000 0.000
F1 0.000 0.000 0.500

Computed, not measured: a relaxed RbPO2F crystal at the PBE level of DFT.

**SG**: No. 123

Lattice parameters (Å, degrees): 3.638 3.638 4.842 90.00 90.00 90.00
Fractional coordinates of all 5 atoms:
Rb1 0.000 0.000 0.000
P1 0.500 0.500 0.500
O1 0.000 0.500 0.500
O2 0.500 0.000 0.500
F1 0.500 0.500 0.000

Computed, not measured: a relaxed RbPO3F crystal at the PBE level of DFT.

**SG**: No. 15

Lattice parameters (Å, degrees): 7.254 7.254 4.701 98.52 98.52 111.49
Fractional coordinates of all 12 atoms:
Rb1 0.167 0.833 0.750
Rb2 0.833 0.167 0.250
P1 0.461 0.539 0.250
P2 0.539 0.461 0.750
O1 0.333 0.667 0.250
O2 0.338 0.401 0.495
O3 0.401 0.338 0.995
O4 0.599 0.662 0.005
O5 0.662 0.599 0.505
O6 0.667 0.333 0.750
F1 0.053 0.947 0.250
F2 0.947 0.053 0.750

Computed, not measured: a relaxed RbP2OF crystal at the PBE level of DFT.

**SG**: No. 123
**Excess energy over the best structure of this formula in the dataset**: 0.0 kJ per mole of atoms

Lattice parameters (Å, degrees): 4.142 4.142 6.278 90.00 90.00 90.00
Fractional coordinates of all 5 atoms:
Rb1 0.000 0.000 0.000
P1 0.000 0.500 0.500
P2 0.500 0.000 0.500
O1 0.500 0.500 0.000
F1 0.500 0.500 0.500

Computed, not measured: a relaxed RbP2OF crystal at the PBE level of DFT.

**SG**: No. 123
**Excess energy over the best structure of this formula in the dataset**: 90.3 kJ per mole of atoms

Lattice parameters (Å, degrees): 7.027 7.027 5.171 90.00 90.00 90.00
Fractional coordinates of all 5 atoms:
Rb1 0.000 0.000 0.000
P1 0.000 0.500 0.000
P2 0.500 0.000 0.000
O1 0.000 0.000 0.500
F1 0.500 0.500 0.500

Computed, not measured: a relaxed RbPO2F crystal at the PBE level of DFT.

**SG**: No. 123

Lattice parameters (Å, degrees): 4.402 4.402 7.655 90.00 90.00 90.00
Fractional coordinates of all 5 atoms:
Rb1 0.000 0.000 0.000
P1 0.000 0.000 0.500
O1 0.000 0.500 0.000
O2 0.500 0.000 0.000
F1 0.500 0.500 0.500

E readings, ordered: -2.661, -5.080, -5.637, -3.321, -2.385, -2.456 eV/atom